1.
Computed, not measured: a relaxed structure of Li2Si at the PBE level of DFT.

```
Li2Si
1.0
4.3127 0.0000 0.0000
-2.1564 3.7349 0.0000
0.0000 0.0000 2.5958
Si Li
1 2
direct
0.0000 0.0000 0.0000
0.6667 0.3333 0.4690
0.3333 0.6667 0.5310
```

Output
Fermi-level density of states (states/eV per atom): 0.51
Volume (Å³ per cell): 41.8
Symmetry: P-3m1
M_tot (μB/cell): 0.000
E (eV per cell): -9.8
Formation energy (no corrections) (meV/atom): -196

***

2.
Computed, not measured: a relaxed structure of PrPaTe3 at the PBE level of DFT.

```
PrPaTe3
1.0
4.2078 -0.5822 0.0000
-1.1079 7.4684 0.0000
0.0000 0.0000 11.0759
Pr Pa Te
2 2 6
direct
0.2441 0.4889 0.2500
0.7559 0.5111 0.7500
0.0000 0.0000 0.0000
0.0000 0.0000 0.5000
0.6452 0.2907 0.4308
0.3548 0.7093 0.5692
0.3548 0.7093 0.9308
0.6452 0.2907 0.0692
0.9101 0.8217 0.2500
0.0899 0.1783 0.7500
```

Output
Fermi-level density of states (states/eV per atom): 1.12
Volume (Å³ per cell): 340.9
Energy above the lowest structure with this stoichiometry (meV/atom): 56
Symmetry: P2_1/m
M_tot (μB/cell): 2.929
E (eV per cell): -57.9
Formation energy (no corrections) (meV/atom): -1054

***

3.
Computed, not measured: a relaxed structure of La4GeAs2I at the PBE level of DFT.

```
La4GeAs2I
1.0
-4.0906 0.5284 1.6045
-0.5522 -7.5978 1.0948
2.5502 -1.7037 7.0630
La Ge As I
4 1 2 1
direct
0.0000 0.7716 0.7266
0.0000 0.2284 0.2734
0.5000 0.7588 0.2599
0.5000 0.2412 0.7401
0.0000 0.5000 0.5000
0.0000 0.0000 0.0000
0.5000 0.0000 0.5000
0.5000 0.5000 0.0000
```

Output
Fermi-level density of states (states/eV per atom): 0.34
Volume (Å³ per cell): 248.0
Symmetry: P2/m
M_tot (μB/cell): 0.000
E (eV per cell): -45.8
Formation energy (no corrections) (meV/atom): -1324

***

4.
Computed, not measured: a relaxed structure of V3Ni5Pt12 at the PBE level of DFT.

```
V3Ni5Pt12
1.0
12.3044 0.0000 0.0000
-4.1015 11.6007 0.0000
-4.1015 -5.8004 10.0465
V Ni Pt
12 20 48
direct
0.7500 0.3750 0.1250
0.8750 0.7500 0.1250
0.3750 0.7500 0.6250
0.2500 0.1250 0.3750
0.8750 0.1250 0.2500
0.3750 0.6250 0.2500
0.6250 0.3750 0.7500
0.1250 0.8750 0.7500
0.7500 0.8750 0.6250
0.6250 0.2500 0.3750
0.1250 0.2500 0.8750
0.2500 0.6250 0.8750
0.1250 0.3750 0.2500
0.0000 0.5000 0.0000
0.0000 0.0000 0.0000
0.3750 0.2500 0.1250
0.5000 0.0000 0.5000
0.5000 0.5000 0.0000
0.1250 0.7500 0.3750
0.7500 0.1250 0.8750
0.7500 0.6250 0.3750
0.3750 0.1250 0.7500
0.6250 0.8750 0.2500
0.5000 0.5000 0.5000
0.5000 0.0000 0.0000
0.0000 0.0000 0.5000
0.2500 0.3750 0.6250
0.2500 0.8750 0.1250
0.0000 0.5000 0.5000
0.8750 0.2500 0.6250
0.6250 0.7500 0.8750
0.8750 0.6250 0.7500
0.7272 0.1346 0.0606
0.3334 0.5606 0.4259
0.9394 0.3654 0.2728
0.5606 0.2272 0.1346
0.5925 0.7272 0.6666
0.9394 0.5741 0.1666
0.3334 0.7728 0.4075
0.0741 0.9075 0.1346
0.5741 0.9394 0.6666
0.7272 0.5925 0.1666
0.7728 0.4394 0.3654
0.8334 0.9259 0.0606
0.1346 0.7272 0.5606
0.3654 0.4259 0.0925
0.0925 0.9259 0.3654
0.4075 0.1346 0.5741
0.0925 0.1666 0.2272
0.4394 0.6666 0.0741
0.8334 0.9075 0.2728
0.1346 0.4075 0.0741
0.3654 0.9394 0.7728
0.5741 0.6346 0.4075
0.9259 0.8334 0.5606
0.7728 0.3334 0.9075
0.4259 0.3654 0.5925
0.0741 0.1666 0.4394
0.2272 0.6666 0.0925
0.1666 0.0925 0.7272
0.6346 0.0606 0.2272
0.8654 0.5925 0.9259
0.5606 0.3334 0.9259
0.5925 0.8654 0.4259
0.9075 0.8334 0.7728
0.9075 0.0741 0.6346
0.8654 0.2728 0.4394
0.1666 0.0741 0.9394
0.6346 0.5741 0.9075
0.4259 0.0606 0.3334
0.2728 0.4075 0.8334
0.2272 0.5606 0.6346
0.9259 0.0925 0.8654
0.6666 0.2272 0.5925
0.4394 0.7728 0.8654
0.0606 0.4259 0.8334
0.4075 0.2728 0.3334
0.0606 0.6346 0.7272
0.6666 0.4394 0.5741
0.2728 0.8654 0.9394
```

Output
Fermi-level density of states (states/eV per atom): 1.20
Volume (Å³ per cell): 1434.1
Symmetry: Ia-3d
M_tot (μB/cell): 7.312
E (eV per cell): -488.5
Formation enthalpy at 0 K (eV per formula unit): 6.6

***

5.
Computed, not measured: a relaxed structure of Ac4Al3In at the PBE level of DFT.

```
Ac4Al3In
1.0
-3.2261 2.1405 2.9792
0.4864 -3.3668 2.9457
9.0384 6.0598 5.4338
Ac Al In
4 3 1
direct
0.5000 0.5000 0.3637
0.0000 0.5000 0.8524
0.0000 0.0000 0.1450
0.5000 0.0000 0.6410
0.0000 0.5000 0.5630
0.0000 0.0000 0.4377
0.5000 0.0000 0.9290
0.5000 0.5000 0.0683
```

Output
Fermi-level density of states (states/eV per atom): 1.07
Volume (Å³ per cell): 267.4
Symmetry: Pmm2
M_tot (μB/cell): 0.001
E (eV per cell): -33.0
Formation enthalpy at 0 K (eV per formula unit): -2.6

***

6.
Computed, not measured: a relaxed structure of Pr8Co3HCl3 at the PBE level of DFT.

```
Pr8Co3HCl3
1.0
-1.2890 4.4780 6.4930
-3.5261 -7.1405 -0.6944
8.4747 0.1310 1.5908
Pr Co H Cl
8 3 1 3
direct
0.2643 0.5287 0.2934
0.7357 0.4713 0.7066
0.7608 0.5217 0.2913
0.2392 0.4783 0.7087
0.7604 0.0307 0.2910
0.2396 0.9693 0.7090
0.2703 0.0306 0.2913
0.7297 0.9694 0.7087
0.5000 0.0000 0.5000
0.5000 0.5000 0.5000
0.0000 0.5000 0.5000
0.0000 0.0000 0.5000
0.0000 0.0000 0.0000
0.0000 0.5000 0.0000
0.5000 0.5000 0.0000
```

Output
Fermi-level density of states (states/eV per atom): 0.43
Volume (Å³ per cell): 403.2
Symmetry: R-3m
M_tot (μB/cell): 0.000
E (eV per cell): -78.2

***

7.
Computed, not measured: a relaxed structure of Tb3Si6Pd2Au at the PBE level of DFT.

```
Tb3Si6Pd2Au
1.0
5.6569 0.0000 0.0000
-2.8285 4.8990 0.0000
0.0000 0.0000 8.2630
Tb Si Pd Au
3 6 2 1
direct
0.3333 0.6667 0.5989
0.6667 0.3333 0.4011
0.0000 0.0000 0.0000
0.6218 0.8109 0.2702
0.1891 0.3782 0.2702
0.1891 0.8109 0.2702
0.8109 0.6218 0.7298
0.3782 0.1891 0.7298
0.8109 0.1891 0.7298
0.6667 0.3333 0.9815
0.3333 0.6667 0.0185
0.0000 0.0000 0.5000
```

Output
Fermi-level density of states (states/eV per atom): 0.36
Volume (Å³ per cell): 229.0
Symmetry: P-3m1
M_tot (μB/cell): 0.000
E (eV per cell): -65.1
Formation energy (no corrections) (meV/atom): -420

***

8.
Computed, not measured: a relaxed structure of LaHoHgPd at the PBE level of DFT.

```
LaHoHgPd
1.0
-2.9119 3.5430 -2.5413
-5.2143 -0.5241 -0.1646
-3.0531 3.3029 2.6945
La Hg Pd Ho
1 1 1 1
direct
0.2500 0.2500 0.2500
0.5000 0.5000 0.5000
0.0000 0.0000 0.0000
0.7500 0.7500 0.7500
```

Output
Fermi-level density of states (states/eV per atom): 0.89
Volume (Å³ per cell): 101.9
Symmetry: F-43m
M_tot (μB/cell): 0.000
E (eV per cell): -17.4
Formation enthalpy at 0 K (eV per formula unit): -2.4

***

9.
Computed, not measured: a relaxed structure of LiZrTlIn at the PBE level of DFT.

```
LiZrTlIn
1.0
4.9918 0.0000 0.0000
2.4959 4.3231 0.0000
2.4959 1.4410 4.0758
Tl Li Zr In
1 1 1 1
direct
0.2500 0.2500 0.2500
0.0000 0.0000 0.0000
0.5000 0.5000 0.5000
0.7500 0.7500 0.7500
```

Output
Fermi-level density of states (states/eV per atom): 0.55
Volume (Å³ per cell): 88.0
Energy above the lowest structure with this stoichiometry (meV/atom): 132
Symmetry: F-43m
M_tot (μB/cell): 0.000
E (eV per cell): -15.8
Formation enthalpy at 0 K (eV per formula unit): -0.3

***

10.
Computed, not measured: a relaxed structure of Co2SiAu at the PBE level of DFT.

```
Co2SiAu
1.0
-5.9022 5.5954 0.9699
-7.2223 3.3878 1.8562
-5.6184 4.7858 3.5517
Au Co Si
1 2 1
direct
0.7500 0.7500 0.7500
0.9874 0.9874 0.9874
0.5126 0.5126 0.5126
0.2500 0.2500 0.2500
```

Output
Fermi-level density of states (states/eV per atom): 0.49
Volume (Å³ per cell): 51.5
Symmetry: R-3m
M_tot (μB/cell): 0.000
E (eV per cell): -23.0
Formation energy (no corrections) (meV/atom): -32

***

Among the records above, which one has the highest volume?
V3Ni5Pt12

***

Which formula does entry 5 have?
Ac4Al3In